[1]
VASP calculation (PBE) on a relaxed Zr2ICl2 crystal.

Cell: 6.515 6.515 6.515 Å, 138.21 138.21 60.58°
Sites, in units of the cell vectors:
Zr  0.122  0.122  0.000
Zr  0.878  0.878  0.000
I  0.500  0.500  0.000
Cl  0.250  0.750  0.500
Cl  0.750  0.250  0.500

Computed properties:
- Uncorrected formation energy: -238 kJ/mol of formula units
- Size of the total moment: 0.00 μB/f.u.
- V: 24.29 Å³ per atom
- E above lowest polymorph: 0 meV/atom

***

[2]
VASP calculation (PBE) on a relaxed Zr2ICl2 crystal.

Cell: 8.206 8.206 3.523 Å, 90.00 90.00 90.00°
Sites, in units of the cell vectors:
Zr  0.120  0.380  0.000
Zr  0.380  0.880  0.000
Zr  0.620  0.120  0.000
Zr  0.880  0.620  0.000
I  0.000  0.000  0.000
I  0.500  0.500  0.000
Cl  0.135  0.635  0.500
Cl  0.365  0.135  0.500
Cl  0.635  0.865  0.500
Cl  0.865  0.365  0.500

Computed properties:
- Uncorrected formation energy: -224 kJ/mol of formula units
- Size of the total moment: 0.00 μB/f.u.
- V: 23.72 Å³ per atom
- E above lowest polymorph: 28 meV/atom

***

[3]
VASP calculation (PBE) on a relaxed Zr3I7Cl crystal.

Cell: 7.942 7.942 7.728 Å, 90.00 90.00 120.00°
Sites, in units of the cell vectors:
Zr  0.058  0.529  0.000
Zr  0.471  0.529  0.000
Zr  0.471  0.942  0.000
I  0.165  0.330  0.248
I  0.165  0.835  0.248
I  0.329  0.164  0.791
I  0.667  0.333  0.200
I  0.670  0.835  0.248
I  0.836  0.164  0.791
I  0.836  0.671  0.791
Cl  0.333  0.667  0.763

Computed properties:
- Uncorrected formation energy: -1037 kJ/mol of formula units
- Size of the total moment: 2.10 μB/f.u.
- V: 38.38 Å³ per atom

***

[4]
VASP calculation (PBE) on a relaxed ZrICl3 crystal.

Cell: 7.371 6.249 7.961 Å, 90.00 90.06 90.00°
Sites, in units of the cell vectors:
Zr  0.250  0.000  0.002
Zr  0.750  0.500  0.998
I  0.250  0.837  0.681
I  0.750  0.337  0.319
Cl  0.006  0.769  0.121
Cl  0.250  0.226  0.241
Cl  0.494  0.769  0.121
Cl  0.506  0.269  0.879
Cl  0.750  0.726  0.759
Cl  0.994  0.269  0.879

Computed properties:
- Uncorrected formation energy: -707 kJ/mol of formula units
- Size of the total moment: 0.00 μB/f.u.
- V: 36.67 Å³ per atom
- E above lowest polymorph: 23 meV/atom